1.
NaYZrPd, optimized geometry, DFT PBE-GGA; symmetry = F-43m; energy above the lowest structure with this stoichiometry = 164 meV/atom
1.0
0.000 3.501 3.501
3.501 0.000 3.501
3.501 3.501 0.000
Y Na Pd Zr
1 1 1 1
direct
0.500 0.500 0.500
0.750 0.750 0.750
0.000 0.000 0.000
0.250 0.250 0.250

=====

2.
KAlPdSe3, optimized geometry, DFT PBE-GGA; symmetry = P2_1/m
1.0
8.543 0.000 0.000
0.000 3.869 0.000
-2.855 0.000 9.399
Pd Se K Al
2 6 2 2
direct
0.412 0.250 0.921
0.588 0.750 0.079
0.233 0.750 0.909
0.937 0.250 0.633
0.063 0.750 0.367
0.767 0.250 0.091
0.644 0.750 0.346
0.356 0.250 0.654
0.302 0.250 0.243
0.698 0.750 0.757
0.143 0.750 0.633
0.857 0.250 0.367

=====

3.
LiPuAu, optimized geometry, DFT PBE-GGA; symmetry = F-43m
1.0
-1.808 -0.844 4.066
-1.731 3.388 2.456
-4.479 0.308 0.594
Pu Li Au
1 1 1
direct
0.500 0.500 0.500
0.250 0.250 0.250
0.000 0.000 0.000

=====

4.
TmTcPb, optimized geometry, DFT PBE-GGA; symmetry = F-43m; energy above the lowest structure with this stoichiometry = 0 meV/atom
1.0
0.000 3.347 3.347
3.347 0.000 3.347
3.347 3.347 0.000
Tm Pb Tc
1 1 1
direct
0.750 0.750 0.750
0.000 0.000 0.000
0.250 0.250 0.250

=====

5.
Zr2NbSb, optimized geometry, DFT PBE-GGA; symmetry = Ama2
1.0
5.502 0.000 0.000
0.000 3.898 3.895
0.000 -3.898 3.895
Nb Zr Sb
2 4 2
direct
0.250 0.005 0.248
0.750 0.248 0.005
0.250 0.003 0.752
0.500 0.496 0.496
0.000 0.496 0.496
0.750 0.752 0.003
0.250 0.499 0.000
0.750 0.000 0.499

=====

6.
YThBi, optimized geometry, DFT PBE-GGA; symmetry = F-43m
1.0
0.000 3.728 3.728
3.728 0.000 3.728
3.728 3.728 0.000
Th Y Bi
1 1 1
direct
0.250 0.250 0.250
0.750 0.750 0.750
0.000 0.000 0.000

=====

7.
HoZnRe, optimized geometry, DFT PBE-GGA; symmetry = F-43m; energy above the lowest structure with this stoichiometry = 653 meV/atom; energy of formation from the pure elements = 3.8 eV per formula unit
1.0
3.128 -3.296 0.978
-1.408 -4.170 1.495
0.401 -3.717 -2.762
Ho Zn Re
1 1 1
direct
0.000 0.000 0.000
0.750 0.750 0.750
0.250 0.250 0.250

=====

8.
HfCo2Te, optimized geometry, DFT PBE-GGA; symmetry = F-43m
1.0
0.000 3.182 3.182
3.182 0.000 3.182
3.182 3.182 0.000
Co Te Hf
2 1 1
direct
0.000 0.000 0.000
0.250 0.250 0.250
0.750 0.750 0.750
0.500 0.500 0.500

=====

Number 1: calculated volume 85.8 Å³ per cell, E -20.7 eV per cell. Number 2: calculated volume 310.7 Å³ per cell, E -49.3 eV per cell. Number 3: calculated volume 65.7 Å³ per cell, E -19.4 eV per cell. Number 4: calculated volume 75.0 Å³ per cell, E -16.9 eV per cell. Number 5: calculated volume 167.1 Å³ per cell, E -65.2 eV per cell. Number 6: calculated volume 103.6 Å³ per cell, E -18.2 eV per cell. Number 7: calculated volume 71.0 Å³ per cell, E -14.5 eV per cell. Number 8: calculated volume 64.4 Å³ per cell, E -26.3 eV per cell.